Entry 1:
DFT (PBE-GGA) results for HfZr2Fe2 after structural relaxation.

Properties
Raw total energy ... -88.81 eV per cell
Energy above the most stable polymorph in this dataset ... 38.8 meV per atom
Density ... 8.8 g cm⁻³
SG ... P4/mbm

```
HfZr2Fe2
1.0
6.547 0.000 0.000
0.000 6.547 0.000
0.000 0.000 4.182
Hf Zr Fe
2 4 4
direct
0.000 0.000 0.000 Hf
0.500 0.500 0.000 Hf
0.183 0.317 0.500 Zr
0.317 0.817 0.500 Zr
0.683 0.183 0.500 Zr
0.817 0.683 0.500 Zr
0.114 0.614 0.000 Fe
0.386 0.114 0.000 Fe
0.614 0.886 0.000 Fe
0.886 0.386 0.000 Fe
```

---

Entry 2:
DFT (PBE-GGA) results for NdEuB12 after structural relaxation.

Properties
Raw total energy ... -101.97 eV per cell
Density ... 5.0 g cm⁻³
SG ... Fm-3m

```
NdEuB12
1.0
0.000 4.145 4.145
4.145 0.000 4.145
4.145 4.145 0.000
Nd Eu B
1 1 12
direct
0.000 0.000 0.000 Nd
0.500 0.500 0.500 Eu
0.100 0.100 0.400 B
0.100 0.400 0.100 B
0.100 0.400 0.400 B
0.400 0.100 0.100 B
0.400 0.100 0.400 B
0.400 0.400 0.100 B
0.600 0.600 0.900 B
0.600 0.900 0.600 B
0.600 0.900 0.900 B
0.900 0.600 0.600 B
0.900 0.600 0.900 B
0.900 0.900 0.600 B
```

---

Entry 3:
DFT (PBE-GGA) results for Sc2CoPb after structural relaxation.

Properties
Raw total energy ... -24.22 eV per cell
Density ... 7.4 g cm⁻³
SG ... P4/mmm

```
Sc2CoPb
1.0
4.644 0.000 0.000
0.000 4.644 0.000
0.000 0.000 3.718
Sc Co Pb
2 1 1
direct
0.000 0.500 0.000 Sc
0.500 0.000 0.000 Sc
0.000 0.000 0.500 Co
0.500 0.500 0.500 Pb
```

---

Entry 4:
DFT (PBE-GGA) results for TbY2Ho3Er6 after structural relaxation.

Properties
Raw total energy ... -58.40 eV per cell
Density ... 8.2 g cm⁻³
SG ... C2/m

```
TbY2Ho3Er6
1.0
3.055 -5.284 0.000
3.055 5.284 0.000
-2.028 0.000 11.507
Tb Y Ho Er
1 2 3 6
direct
0.000 0.000 0.000 Tb
0.333 0.667 0.000 Y
0.667 0.333 0.000 Y
0.167 0.833 0.500 Ho
0.500 0.500 0.500 Ho
0.833 0.167 0.500 Ho
0.084 0.417 0.251 Er
0.249 0.249 0.749 Er
0.417 0.084 0.251 Er
0.583 0.916 0.749 Er
0.751 0.751 0.251 Er
0.916 0.583 0.749 Er
```

---

Entry 5:
DFT (PBE-GGA) results for LaEuSbPt after structural relaxation.

Properties
Raw total energy ... -117.03 eV per cell
Formation energy (no corrections) ... -0.973 eV/atom
Density ... 9.2 g cm⁻³
SG ... F-43m

```
LaEuSbPt
1.0
7.595 0.000 0.000
0.000 7.595 0.000
0.000 0.000 7.595
La Eu Sb Pt
4 4 4 4
direct
0.000 0.000 0.000 La
0.000 0.500 0.500 La
0.500 0.000 0.500 La
0.500 0.500 0.000 La
0.000 0.000 0.500 Eu
0.000 0.500 0.000 Eu
0.500 0.000 0.000 Eu
0.500 0.500 0.500 Eu
0.250 0.250 0.750 Sb
0.250 0.750 0.250 Sb
0.750 0.250 0.250 Sb
0.750 0.750 0.750 Sb
0.250 0.250 0.250 Pt
0.250 0.750 0.750 Pt
0.750 0.250 0.750 Pt
0.750 0.750 0.250 Pt
```

---

Entry 6:
DFT (PBE-GGA) results for NaIn2S4 after structural relaxation.

Properties
Raw total energy ... -53.77 eV per cell
Formation energy (no corrections) ... -0.512 eV/atom
Density ... 4.1 g cm⁻³
SG ... Cmcm

```
NaIn2S4
1.0
1.920 -6.611 0.000
1.920 6.611 0.000
0.000 0.000 12.122
Na In S
2 4 8
direct
0.108 0.892 0.750 Na
0.892 0.108 0.250 Na
0.361 0.639 0.569 In
0.361 0.639 0.931 In
0.639 0.361 0.069 In
0.639 0.361 0.431 In
0.000 0.000 0.000 S
0.000 0.000 0.500 S
0.269 0.731 0.120 S
0.269 0.731 0.380 S
0.457 0.543 0.750 S
0.543 0.457 0.250 S
0.731 0.269 0.620 S
0.731 0.269 0.880 S
```

---

Entry 7:
DFT (PBE-GGA) results for LiTbGeO4 after structural relaxation.

Properties
Raw total energy ... -95.41 eV per cell
Formation energy (no corrections) ... -2.387 eV/atom
Density ... 5.8 g cm⁻³
SG ... Imma

```
LiTbGeO4
1.0
-3.019 3.448 4.145
3.019 -3.448 4.145
3.019 3.448 -4.145
Li Tb Ge O
2 2 2 8
direct
0.500 0.000 0.000 Li
0.500 0.500 0.500 Li
0.000 0.000 0.000 Tb
0.500 0.000 0.500 Tb
0.136 0.386 0.750 Ge
0.864 0.614 0.250 Ge
0.196 0.729 0.467 O
0.238 0.271 0.967 O
0.262 0.264 0.502 O
0.262 0.761 0.998 O
0.738 0.239 0.002 O
0.738 0.736 0.498 O
0.762 0.729 0.033 O
0.804 0.271 0.533 O
```

---

Entry 8:
DFT (PBE-GGA) results for Ta2NbRe after structural relaxation.

Properties
Raw total energy ... -47.21 eV per cell
Density ... 15.5 g cm⁻³
SG ... P4/mmm

```
Ta2NbRe
1.0
3.231 0.000 0.000
0.000 3.231 0.000
0.000 0.000 6.595
Ta Nb Re
2 1 1
direct
0.000 0.000 0.241 Ta
0.000 0.000 0.759 Ta
0.500 0.500 0.500 Nb
0.500 0.500 0.000 Re
```